VASP calculation (PBE-GGA) on NaLi2Te after structural relaxation.

As for the symmetry: I-42d. The calculation puts the formation energy (no corrections) at -0.42 eV/atom.

abc: 10.2326 10.2326 10.2326
angles: 153.61 153.61 37.67
Fractional positions:
Na1 0.0000 0.0000 0.0000
Na2 0.7500 0.2500 0.5000
Li1 0.1901 0.6250 0.0651
Li2 0.3750 0.4401 0.5651
Li3 0.5599 0.1250 0.9349
Li4 0.8750 0.8099 0.4349
Te1 0.2500 0.7500 0.5000
Te2 0.5000 0.5000 0.0000